(1)
Below is a relaxed structure of Tm3Cd4Ga2, with properties calculated at the GGA-PBE level.

* crystal system: monoclinic
* space-group type: C2/m (12)
* M_tot: 0.00 μB per cell
* formation enthalpy at 0 K: -0.37 eV per atom
* total DFT energy (no corrections): -2.94 eV/atom
* calculated density: 9.0 g cm⁻³

Lattice parameters (Å, degrees): 5.8868 5.8868 8.9362 115.34 115.34 47.80
Fractional coordinates of all 9 atoms:
1 Tm 0.0000 0.0000 0.0000
2 Tm 0.3337 0.3337 0.3317
3 Tm 0.6663 0.6663 0.6683
4 Cd 0.0724 0.0724 0.4021
5 Cd 0.2943 0.2943 0.9570
6 Cd 0.7057 0.7057 0.0430
7 Cd 0.9276 0.9276 0.5979
8 Ga 0.3943 0.3943 0.7268
9 Ga 0.6057 0.6057 0.2732

(2)
Below is a relaxed structure of CdNiCl2, with properties calculated at the GGA-PBE level.

* crystal system: trigonal
* space-group type: R-3m (166)
* raw formation energy: -0.370 eV/atom
* E above lowest polymorph: 0.527 kcal/mol of atoms
* M_tot: 5.56 μB per cell
* total DFT energy (no corrections): -2.97 eV/atom
* calculated density: 4.2 g cm⁻³

Lattice parameters (Å, degrees): 3.4316 3.4316 27.9879 90.00 90.00 120.00
Fractional coordinates of all 12 atoms:
1 Cd 0.0000 0.0000 0.0000
2 Cd 0.3333 0.6667 0.6667
3 Cd 0.6667 0.3333 0.3333
4 Ni 0.0000 0.0000 0.5000
5 Ni 0.3333 0.6667 0.1667
6 Ni 0.6667 0.3333 0.8333
7 Cl 0.0000 0.0000 0.2148
8 Cl 0.0000 0.0000 0.7852
9 Cl 0.3333 0.6667 0.4518
10 Cl 0.3333 0.6667 0.8815
11 Cl 0.6667 0.3333 0.1185
12 Cl 0.6667 0.3333 0.5482

(3)
Below is a relaxed structure of Pm2ErGe3Pt4, with properties calculated at the GGA-PBE level.

* crystal system: tetragonal
* space-group type: P-4m2 (115)
* M_tot: 0.00 μB per cell
* formation enthalpy at 0 K: -0.97 eV per atom
* total DFT energy (no corrections): -6.18 eV/atom
* calculated density: 11.7 g cm⁻³

Lattice parameters (Å, degrees): 4.2973 4.2973 11.1433 90.00 90.00 90.00
Fractional coordinates of all 10 atoms:
1 Pm 0.0000 0.5000 0.2222
2 Pm 0.5000 0.0000 0.7778
3 Er 0.0000 0.0000 0.5000
4 Ge 0.0000 0.5000 0.8758
5 Ge 0.5000 0.0000 0.1242
6 Ge 0.5000 0.5000 0.5000
7 Pt 0.0000 0.0000 0.0000
8 Pt 0.0000 0.5000 0.6550
9 Pt 0.5000 0.0000 0.3450
10 Pt 0.5000 0.5000 0.0000

(4)
Below is a relaxed structure of Na2AlBr5, with properties calculated at the GGA-PBE level.

* crystal system: triclinic
* space-group type: P1 (1)
* raw formation energy: -1.293 eV/atom
* E above lowest polymorph: 0.282 kcal/mol of atoms
* M_tot: 0.00 μB per cell
* total DFT energy (no corrections): -3.14 eV/atom
* calculated density: 2.4 g cm⁻³

Lattice parameters (Å, degrees): 7.0186 7.6460 7.6796 76.29 63.12 62.98
Fractional coordinates of all 8 atoms:
1 Na 0.0000 0.0000 0.0000
2 Na 0.4476 0.5499 0.5518
3 Al 0.8046 0.9575 0.5916
4 Br 0.1621 0.8003 0.3235
5 Br 0.4993 0.8424 0.7106
6 Br 0.6361 0.1972 0.3514
7 Br 0.7449 0.2281 0.7437
8 Br 0.9688 0.7138 0.8348

(5)
Below is a relaxed structure of K2TlTcCl6, with properties calculated at the GGA-PBE level.

* crystal system: trigonal
* space-group type: R-3m (166)
* raw formation energy: -1.214 eV/atom
* M_tot: 4.00 μB per cell
* total DFT energy (no corrections): -3.81 eV/atom
* calculated density: 2.9 g cm⁻³

Lattice parameters (Å, degrees): 15.8649 15.8649 15.8649 25.93 25.93 25.93
Fractional coordinates of all 20 atoms:
1 K 0.1451 0.1451 0.1451
2 K 0.3123 0.3123 0.3123
3 K 0.6877 0.6877 0.6877
4 K 0.8549 0.8549 0.8549
5 Tl 0.4162 0.4162 0.4162
6 Tl 0.5838 0.5838 0.5838
7 Tc 0.0000 0.0000 0.0000
8 Tc 0.5000 0.5000 0.5000
9 Cl 0.1504 0.6285 0.6285
10 Cl 0.1895 0.1895 0.7129
11 Cl 0.1895 0.7129 0.1895
12 Cl 0.2871 0.8105 0.8105
13 Cl 0.3715 0.3715 0.8496
14 Cl 0.3715 0.8496 0.3715
15 Cl 0.6285 0.1504 0.6285
16 Cl 0.6285 0.6285 0.1504
17 Cl 0.7129 0.1895 0.1895
18 Cl 0.8105 0.2871 0.8105
19 Cl 0.8105 0.8105 0.2871
20 Cl 0.8496 0.3715 0.3715

(6)
Below is a relaxed structure of Pr4Tl2H, with properties calculated at the GGA-PBE level.

* crystal system: monoclinic
* space-group type: P2_1/m (11)
* M_tot: 0.00 μB per cell
* total DFT energy (no corrections): -4.22 eV/atom
* calculated density: 8.0 g cm⁻³

Lattice parameters (Å, degrees): 6.5061 6.9179 9.5138 90.00 108.45 90.00
Fractional coordinates of all 14 atoms:
1 Pr 0.1802 0.2500 0.0671
2 Pr 0.2587 0.5022 0.7237
3 Pr 0.2587 0.9978 0.7237
4 Pr 0.2862 0.7500 0.3668
5 Pr 0.7138 0.2500 0.6332
6 Pr 0.7413 0.0022 0.2763
7 Pr 0.7413 0.4978 0.2763
8 Pr 0.8198 0.7500 0.9329
9 Tl 0.2138 0.2500 0.4124
10 Tl 0.3502 0.7500 0.0394
11 Tl 0.6498 0.2500 0.9606
12 Tl 0.7862 0.7500 0.5876
13 H 0.0742 0.2500 0.8029
14 H 0.9258 0.7500 0.1971

(7)
Below is a relaxed structure of Er2LuI, with properties calculated at the GGA-PBE level.

* crystal system: trigonal
* space-group type: R-3m (166)
* raw formation energy: -0.312 eV/atom
* M_tot: 0.00 μB per cell
* total DFT energy (no corrections): -4.11 eV/atom
* calculated density: 8.6 g cm⁻³

Lattice parameters (Å, degrees): 3.6992 3.6992 30.9267 90.00 90.00 120.00
Fractional coordinates of all 12 atoms:
1 Er 0.0000 0.0000 0.2466
2 Er 0.0000 0.0000 0.7534
3 Er 0.3333 0.6667 0.4200
4 Er 0.3333 0.6667 0.9133
5 Er 0.6667 0.3333 0.0867
6 Er 0.6667 0.3333 0.5800
7 Lu 0.0000 0.0000 0.0000
8 Lu 0.3333 0.6667 0.6667
9 Lu 0.6667 0.3333 0.3333
10 I 0.0000 0.0000 0.5000
11 I 0.3333 0.6667 0.1667
12 I 0.6667 0.3333 0.8333

(8)
Below is a relaxed structure of K2BeI4, with properties calculated at the GGA-PBE level.

* crystal system: tetragonal
* space-group type: I-42m (121)
* raw formation energy: -1.048 eV/atom
* E above lowest polymorph: 1.044 kcal/mol of atoms
* M_tot: 0.00 μB per cell
* total DFT energy (no corrections): -2.78 eV/atom
* calculated density: 2.4 g cm⁻³

Lattice parameters (Å, degrees): 8.2980 8.2980 11.8436 90.00 90.00 90.00
Fractional coordinates of all 14 atoms:
1 K 0.0000 0.5000 0.2500
2 K 0.0000 0.5000 0.7500
3 K 0.5000 0.0000 0.2500
4 K 0.5000 0.0000 0.7500
5 Be 0.0000 0.0000 0.0000
6 Be 0.5000 0.5000 0.5000
7 I 0.1735 0.1735 0.1129
8 I 0.1735 0.8265 0.8871
9 I 0.3265 0.3265 0.6129
10 I 0.3265 0.6735 0.3871
11 I 0.6735 0.3265 0.3871
12 I 0.6735 0.6735 0.6129
13 I 0.8265 0.1735 0.8871
14 I 0.8265 0.8265 0.1129

(9)
Below is a relaxed structure of LaAlGe2Pd, with properties calculated at the GGA-PBE level.

* crystal system: tetragonal
* space-group type: P4/mmm (123)
* E above lowest polymorph: 10.775 kcal/mol of atoms
* M_tot: 0.00 μB per cell
* formation enthalpy at 0 K: -0.24 eV per atom
* total DFT energy (no corrections): -4.86 eV/atom
* calculated density: 6.1 g cm⁻³

Lattice parameters (Å, degrees): 4.9181 4.9181 4.6908 90.00 90.00 90.00
Fractional coordinates of all 5 atoms:
1 La 0.0000 0.0000 0.0000
2 Al 0.5000 0.5000 0.5000
3 Ge 0.0000 0.5000 0.5000
4 Ge 0.5000 0.0000 0.5000
5 Pd 0.5000 0.5000 0.0000

(10)
Below is a relaxed structure of Hf6Rh2C, with properties calculated at the GGA-PBE level.

* crystal system: monoclinic
* space-group type: P2_1/c (14)
* M_tot: 0.00 μB per cell
* formation enthalpy at 0 K: -0.56 eV per atom
* total DFT energy (no corrections): -9.85 eV/atom
* calculated density: 12.5 g cm⁻³

Lattice parameters (Å, degrees): 5.9830 6.3748 10.6562 90.00 122.68 90.00
Fractional coordinates of all 18 atoms:
1 Hf 0.1277 0.0229 0.2431
2 Hf 0.1277 0.4771 0.7431
3 Hf 0.2366 0.6928 0.0523
4 Hf 0.2366 0.8072 0.5523
5 Hf 0.3632 0.1847 0.0544
6 Hf 0.3632 0.3153 0.5544
7 Hf 0.6368 0.6847 0.4456
8 Hf 0.6368 0.8153 0.9456
9 Hf 0.7634 0.1928 0.4477
10 Hf 0.7634 0.3072 0.9477
11 Hf 0.8723 0.5229 0.2569
12 Hf 0.8723 0.9771 0.7569
13 Rh 0.3016 0.0903 0.7558
14 Rh 0.3016 0.4097 0.2558
15 Rh 0.6984 0.5903 0.7442
16 Rh 0.6984 0.9097 0.2442
17 C 0.0000 0.0000 0.0000
18 C 0.0000 0.5000 0.5000

(11)
Below is a relaxed structure of Si7Sb6, with properties calculated at the GGA-PBE level.

* crystal system: trigonal
* space-group type: R-3m (166)
* raw formation energy: 0.515 eV/atom
* M_tot: 0.00 μB per cell
* total DFT energy (no corrections): -4.31 eV/atom
* calculated density: 5.7 g cm⁻³

Lattice parameters (Å, degrees): 10.9804 10.9804 10.9804 28.84 28.84 28.84
Fractional coordinates of all 13 atoms:
1 Si 0.0000 0.0000 0.0000
2 Si 0.0988 0.0988 0.5905
3 Si 0.0988 0.5905 0.0988
4 Si 0.4095 0.9012 0.9012
5 Si 0.5905 0.0988 0.0988
6 Si 0.9012 0.4095 0.9012
7 Si 0.9012 0.9012 0.4095
8 Sb 0.1526 0.1526 0.1526
9 Sb 0.3426 0.3426 0.3426
10 Sb 0.4457 0.4457 0.4457
11 Sb 0.5543 0.5543 0.5543
12 Sb 0.6574 0.6574 0.6574
13 Sb 0.8474 0.8474 0.8474

(12)
Below is a relaxed structure of CsHf3N, with properties calculated at the GGA-PBE level.

* crystal system: cubic
* space-group type: Pm-3m (221)
* raw formation energy: 3.449 eV/atom
* M_tot: 0.00 μB per cell
* total DFT energy (no corrections): -4.36 eV/atom
* calculated density: 8.0 g cm⁻³

Lattice parameters (Å, degrees): 5.2037 5.2037 5.2037 90.00 90.00 90.00
Fractional coordinates of all 5 atoms:
1 Cs 0.0000 0.0000 0.0000
2 Hf 0.0000 0.0000 0.5000
3 Hf 0.0000 0.5000 0.0000
4 Hf 0.5000 0.0000 0.0000
5 N 0.5000 0.5000 0.5000

What did the sixth record say?
Below is a relaxed structure of Pr4Tl2H, with properties calculated at the GGA-PBE level.

* crystal system: monoclinic
* space-group type: P2_1/m (11)
* M_tot: 0.00 μB per cell
* total DFT energy (no corrections): -4.22 eV/atom
* calculated density: 8.0 g cm⁻³

Lattice parameters (Å, degrees): 6.5061 6.9179 9.5138 90.00 108.45 90.00
Fractional coordinates of all 14 atoms:
1 Pr 0.1802 0.2500 0.0671
2 Pr 0.2587 0.5022 0.7237
3 Pr 0.2587 0.9978 0.7237
4 Pr 0.2862 0.7500 0.3668
5 Pr 0.7138 0.2500 0.6332
6 Pr 0.7413 0.0022 0.2763
7 Pr 0.7413 0.4978 0.2763
8 Pr 0.8198 0.7500 0.9329
9 Tl 0.2138 0.2500 0.4124
10 Tl 0.3502 0.7500 0.0394
11 Tl 0.6498 0.2500 0.9606
12 Tl 0.7862 0.7500 0.5876
13 H 0.0742 0.2500 0.8029
14 H 0.9258 0.7500 0.1971

What is the total DFT energy (no corrections) in the tenth record? -9.85 eV/atom

Number 2 is which compound? CdNiCl2

Among the records above, which one has the highest M_tot? CdNiCl2